A plane-wave DFT calculation with GGA-PBE was carried out for a relaxed structure of CdBiNF2.

**Magnetic moment**: 0.000 μB/atom
**Calculated total energy**: -3.927 eV per atom
**E_form (uncorrected)**: -554 meV per atom

a = 4.512 Å, b = 4.512 Å, c = 4.680 Å
α = 90.00°, β = 90.00°, γ = 90.00°
Atoms (fractional coordinates):
Cd: 0.000 0.000 0.000
Bi: 0.500 0.500 0.500
N: 0.500 0.500 0.000
F: 0.000 0.500 0.500
F: 0.500 0.000 0.500


A plane-wave DFT calculation with GGA-PBE was carried out for a relaxed structure of CdBiNF2.

**Magnetic moment**: 0.000 μB/atom
**Calculated total energy**: -3.789 eV per atom
**E_form (uncorrected)**: -416 meV per atom

a = 4.235 Å, b = 4.235 Å, c = 4.633 Å
α = 90.00°, β = 90.00°, γ = 90.00°
Atoms (fractional coordinates):
Cd: 0.000 0.000 0.000
Bi: 0.500 0.500 0.500
N: 0.000 0.000 0.500
F: 0.000 0.500 0.000
F: 0.500 0.000 0.000